(1)
# Nb3O2F5

Nb3O2F5 after structural relaxation (GGA-PBEsol, Alexandria via LeMat-Bulk).

abc: 5.9689 8.1050 13.1452
angles: 90.00 90.00 90.00
Closest atoms and distances in Å follow each position.
Positions (direct):
Nb  0.0000  0.0063  0.1299  2 O 2.03, 4 F 2.12-2.25
Nb  0.2204  0.2250  0.2384  2 O 2.02-2.07, 4 F 2.07-2.23
Nb  0.7796  0.2250  0.2384  2 O 2.02-2.07, 4 F 2.07-2.23
Nb  0.2796  0.2750  0.7384  2 O 2.02-2.07, 4 F 2.07-2.23
Nb  0.7204  0.2750  0.7384  2 O 2.02-2.07, 4 F 2.07-2.23
Nb  0.5000  0.4937  0.6299  2 O 2.03, 4 F 2.12-2.25
Nb  0.5000  0.5063  0.3701  2 O 2.03, 4 F 2.12-2.25
Nb  0.2796  0.7250  0.2616  2 O 2.02-2.07, 4 F 2.07-2.23
Nb  0.7204  0.7250  0.2616  2 O 2.02-2.07, 4 F 2.07-2.23
Nb  0.2204  0.7750  0.7616  2 O 2.02-2.07, 4 F 2.07-2.23
Nb  0.7796  0.7750  0.7616  2 O 2.02-2.07, 4 F 2.07-2.23
Nb  0.0000  0.9937  0.8701  2 O 2.03, 4 F 2.12-2.25
O  0.2459  0.0241  0.7655  3 Nb 2.02-2.07
O  0.7541  0.0241  0.7655  3 Nb 2.02-2.07
O  0.2541  0.4759  0.2655  3 Nb 2.02-2.07
O  0.7459  0.4759  0.2655  3 Nb 2.02-2.07
O  0.2541  0.5241  0.7345  3 Nb 2.02-2.07
O  0.7459  0.5241  0.7345  3 Nb 2.02-2.07
O  0.2459  0.9759  0.2345  3 Nb 2.02-2.07
O  0.7541  0.9759  0.2345  3 Nb 2.02-2.07
F  0.2105  0.0000  0.0000  2 Nb 2.12
F  0.7895  0.0000  0.0000  2 Nb 2.12
F  0.5000  0.2235  0.6110  3 Nb 2.17-2.20
F  0.5000  0.2305  0.3513  3 Nb 2.23-2.25
F  0.0000  0.2029  0.3592  2 Nb 2.07
F  0.0000  0.2465  0.6411  2 Nb 2.12
F  0.5000  0.2535  0.1411  2 Nb 2.12
F  0.5000  0.2971  0.8592  2 Nb 2.07
F  0.0000  0.2695  0.8513  3 Nb 2.23-2.25
F  0.0000  0.2765  0.1110  3 Nb 2.17-2.20
F  0.2895  0.5000  0.5000  2 Nb 2.12
F  0.7105  0.5000  0.5000  2 Nb 2.12
F  0.0000  0.7235  0.8890  3 Nb 2.17-2.20
F  0.0000  0.7305  0.1487  3 Nb 2.23-2.25
F  0.5000  0.7029  0.1408  2 Nb 2.07
F  0.5000  0.7465  0.8589  2 Nb 2.12
F  0.0000  0.7535  0.3589  2 Nb 2.12
F  0.0000  0.7971  0.6408  2 Nb 2.07
F  0.5000  0.7695  0.6487  3 Nb 2.23-2.25
F  0.5000  0.7765  0.3890  3 Nb 2.17-2.20

Values from the calculation:
E_tot = -7.800 eV/atom


(2)
# Nb2OF8

Nb2OF8 after structural relaxation (GGA-PBEsol, Alexandria via LeMat-Bulk).

abc: 5.1743 9.2357 15.1351
angles: 103.67 90.00 90.00
Closest atoms and distances in Å follow each position.
Positions (direct):
Nb  0.2148  0.9113  0.6191  4 F 1.86-1.89
Nb  0.7852  0.9113  0.1191  4 F 1.86-1.89
Nb  0.8907  0.5511  0.6564  1 O 1.79, 2 F 1.86-1.87
Nb  0.8907  0.4489  0.8436  1 O 1.79, 2 F 1.86-1.87
Nb  0.1093  0.5511  0.1564  1 O 1.79, 2 F 1.86-1.87
Nb  0.1093  0.4489  0.3436  1 O 1.79, 2 F 1.86-1.87
Nb  0.2148  0.0887  0.8809  4 F 1.86-1.89
Nb  0.7852  0.0887  0.3809  4 F 1.86-1.89
O  0.0388  0.7169  0.6382  1 Nb 1.79
O  0.9612  0.7169  0.1382  1 Nb 1.79
O  0.0388  0.2831  0.8618  1 Nb 1.79
O  0.9612  0.2831  0.3618  1 Nb 1.79
F  0.0675  0.0000  0.7500  2 Nb 2.10
F  0.8790  0.9475  0.5795  1 Nb 1.89
F  0.3441  0.8126  0.5065  1 Nb 1.86
F  0.4853  0.8511  0.6868  1 Nb 1.89
F  0.3337  0.8969  0.8767  1 Nb 1.86
F  0.9325  0.0000  0.2500  2 Nb 2.10
F  0.1210  0.9475  0.0795  1 Nb 1.89
F  0.6559  0.8126  0.0065  1 Nb 1.86
F  0.5147  0.8511  0.1868  1 Nb 1.89
F  0.6663  0.8969  0.3767  1 Nb 1.86
F  0.7530  0.6349  0.7828  2 Nb 2.02-2.25
F  0.5680  0.5452  0.6010  1 Nb 1.86
F  0.0577  0.5975  0.9301  1 Nb 1.87
F  0.1587  0.5000  0.7500  2 Nb 2.11
F  0.2470  0.6349  0.2828  2 Nb 2.02-2.25
F  0.0577  0.4025  0.5699  1 Nb 1.87
F  0.4320  0.5452  0.1010  1 Nb 1.86
F  0.5680  0.4548  0.8990  1 Nb 1.86
F  0.9423  0.5975  0.4301  1 Nb 1.87
F  0.7530  0.3651  0.7172  2 Nb 2.02-2.25
F  0.8413  0.5000  0.2500  2 Nb 2.11
F  0.9423  0.4025  0.0699  1 Nb 1.87
F  0.4320  0.4548  0.3990  1 Nb 1.86
F  0.2470  0.3651  0.2172  2 Nb 2.02-2.25
F  0.3337  0.1031  0.6233  1 Nb 1.86
F  0.4853  0.1489  0.8132  1 Nb 1.89
F  0.3441  0.1874  0.9935  1 Nb 1.86
F  0.8790  0.0525  0.9205  1 Nb 1.89
F  0.6663  0.1031  0.1233  1 Nb 1.86
F  0.5147  0.1489  0.3132  1 Nb 1.89
F  0.6559  0.1874  0.4935  1 Nb 1.86
F  0.1210  0.0525  0.4205  1 Nb 1.89

Values from the calculation:
E_tot = -6.769 eV/atom


(3)
# Nb4Pb3O12F2

Nb4Pb3O12F2 after structural relaxation (GGA-PBEsol, Alexandria via LeMat-Bulk).

abc: 7.5075 12.7471 12.7471
angles: 89.99 90.00 90.00
Closest atoms and distances in Å follow each position.
Positions (direct):
Nb  0.5000  0.0488  0.2624  3 O 1.83-1.95
Nb  0.5000  0.9477  0.7448  5 O 1.95-2.01, 1 F 2.02
Nb  0.0000  0.4573  0.7726  3 O 1.80-1.98
Nb  0.0000  0.5567  0.2528  5 O 1.90-2.06, 1 F 2.07
Nb  0.5000  0.2624  0.0488  3 O 1.83-1.95
Nb  0.5000  0.7448  0.9477  5 O 1.95-2.01, 1 F 2.02
Nb  0.0000  0.7726  0.4573  3 O 1.80-1.98
Nb  0.0000  0.2528  0.5567  5 O 1.90-2.06, 1 F 2.07
Nb  0.2487  0.8021  0.1996  6 O 1.93-2.08
Nb  0.2487  0.1996  0.8021  6 O 1.93-2.08
Nb  0.7495  0.6972  0.6972  6 O 1.94-2.07
Nb  0.7490  0.3012  0.3012  6 O 1.94-2.07
Nb  0.7513  0.1996  0.8021  6 O 1.93-2.08
Nb  0.7513  0.8021  0.1996  6 O 1.93-2.08
Nb  0.2510  0.3012  0.3012  6 O 1.94-2.07
Nb  0.2505  0.6972  0.6972  6 O 1.94-2.07
Pb  0.2392  0.5012  0.5012  2 F 2.51, 6 O 2.63-2.72
Pb  0.7374  0.0080  0.0080  3 O 2.46-2.52, 2 F 2.46-2.59
Pb  0.7608  0.5012  0.5012  2 F 2.51, 6 O 2.63-2.72
Pb  0.2626  0.0080  0.0080  3 O 2.46-2.52, 2 F 2.46-2.59
Pb  0.5000  0.5608  0.2142  2 F 2.48, 3 O 2.50-2.53
Pb  0.5000  0.4373  0.7964  2 O 2.26-2.50
Pb  0.0000  0.9401  0.7130  4 O 2.36-2.57, 1 F 2.59
Pb  0.0000  0.0625  0.2925  2 F 2.35-2.61, 3 O 2.48-2.53
Pb  0.5000  0.2142  0.5608  2 F 2.48, 3 O 2.50-2.53
Pb  0.5000  0.7964  0.4373  2 O 2.26-2.50
Pb  0.0000  0.7130  0.9401  4 O 2.36-2.57, 1 F 2.59
Pb  0.0000  0.2925  0.0625  2 F 2.35-2.61, 3 O 2.48-2.53
O  0.3021  0.9506  0.1956  2 Nb 1.93-2.12
O  0.3132  0.0513  0.7908  2 Nb 1.96-2.01
O  0.8089  0.5492  0.7018  2 Nb 1.94-2.06
O  0.8091  0.4490  0.2965  2 Nb 1.94-2.06
O  0.6868  0.0513  0.7908  2 Nb 1.96-2.01
O  0.6979  0.9506  0.1956  2 Nb 1.93-2.12
O  0.1910  0.4490  0.2965  2 Nb 1.94-2.06
O  0.1911  0.5492  0.7018  2 Nb 1.94-2.06
O  0.3021  0.1956  0.9506  2 Nb 1.93-2.12
O  0.3132  0.7908  0.0513  2 Nb 1.96-2.01
O  0.8089  0.7018  0.5492  2 Nb 1.94-2.06
O  0.8091  0.2965  0.4490  2 Nb 1.94-2.06
O  0.6868  0.7908  0.0513  2 Nb 1.96-2.01
O  0.6979  0.1956  0.9506  2 Nb 1.93-2.12
O  0.1910  0.2965  0.4490  2 Nb 1.94-2.06
O  0.1911  0.7018  0.5492  2 Nb 1.94-2.06
O  0.1933  0.6425  0.1998  2 Nb 1.94-2.08
O  0.1908  0.3544  0.8031  2 Nb 1.98-2.02
O  0.6912  0.8549  0.6991  2 Nb 1.95-2.06
O  0.6935  0.1438  0.3006  2 Nb 1.95-2.05
O  0.8092  0.3544  0.8031  2 Nb 1.98-2.02
O  0.8067  0.6425  0.1998  2 Nb 1.94-2.08
O  0.3065  0.1438  0.3006  2 Nb 1.95-2.05
O  0.3088  0.8549  0.6991  2 Nb 1.95-2.06
O  0.1933  0.1998  0.6425  2 Nb 1.94-2.08
O  0.1908  0.8031  0.3544  2 Nb 1.98-2.02
O  0.6912  0.6991  0.8549  2 Nb 1.95-2.06
O  0.6935  0.3006  0.1438  2 Nb 1.95-2.05
O  0.8092  0.8031  0.3544  2 Nb 1.98-2.02
O  0.8067  0.1998  0.6425  2 Nb 1.94-2.08
O  0.3065  0.3006  0.1438  2 Nb 1.95-2.05
O  0.3088  0.6991  0.8549  2 Nb 1.95-2.06
O  0.5000  0.1019  0.1019  2 Nb 2.15
O  0.5000  0.8896  0.8896  2 Nb 1.99
O  0.0000  0.3938  0.6064  1 Nb 1.90
O  0.0000  0.6064  0.3938  1 Nb 1.90
O  0.5000  0.3293  0.3293  2 Nb 1.94
O  0.5000  0.6688  0.6688  2 Nb 1.94
O  0.0000  0.1667  0.8255  2 Nb 1.94
O  0.0000  0.8255  0.1667  2 Nb 1.94
O  0.5000  0.7539  0.2462  2 Nb 2.07
O  0.5000  0.2462  0.7539  2 Nb 2.07
O  0.0000  0.7448  0.7448  2 Nb 2.07
O  0.0000  0.2535  0.2535  2 Nb 2.07
O  0.5000  0.9629  0.3771  1 Nb 1.83
O  0.0000  0.5342  0.8914  1 Nb 1.80
O  0.5000  0.3771  0.9629  1 Nb 1.83
O  0.0000  0.8914  0.5342  1 Nb 1.80
F  0.5000  0.5810  0.4075  4 Pb 2.48-2.77
F  0.5000  0.4075  0.5810  4 Pb 2.48-2.77
F  0.0000  0.9148  0.9148  4 Pb 2.59
F  0.0000  0.0896  0.0896  4 Pb 2.46-2.61
F  0.5000  0.0253  0.6065  1 Nb 2.02
F  0.0000  0.4684  0.1163  1 Nb 2.07
F  0.5000  0.6065  0.0253  1 Nb 2.02
F  0.0000  0.1163  0.4684  1 Nb 2.07

Values from the calculation:
E_tot = -8.098 eV/atom


Number 1: E_form (uncorrected) -2.540 eV per atom, calculated density 4.2 Mg/m³. Number 2: E_form (uncorrected) -2.922 eV per atom, calculated density 3.3 Mg/m³. Number 3: E_form (uncorrected) -2.282 eV per atom, calculated density 6.7 Mg/m³.